The following is a PBE calculation of an optimized crystal structure of CaBi2PbI, from Alexandria via LeMat-Bulk.

POSCAR file:
```
CaBi2PbI
1.0
6.168 0.000 0.000
0.000 6.168 0.000
0.000 0.000 6.507
Ca Bi Pb I
1 2 1 1
Direct
0.000 0.000 0.000
0.000 0.500 0.500
0.500 0.000 0.500
0.500 0.500 0.500
0.500 0.500 0.000
```

Properties
For the final energy, the calculation gives -2.80 eV per atom. The formation energy without anion corrections is 0.21 eV per atom.